No. 1
Zr4CoB3, optimized geometry, DFT PBE; size of the total moment = 1.15 μB per formula unit; E_tot = -7.920 eV per atom
1.0
-0.554 -2.527 2.239
-0.428 -0.557 -3.349
23.430 -6.791 -1.867
B Co Zr
6 2 8
Direct
0.000 0.000 0.000
0.667 0.333 0.118
0.667 0.333 0.382
0.000 0.000 0.500
0.333 0.667 0.618
0.333 0.667 0.882
0.333 0.667 0.250
0.667 0.333 0.750
0.333 0.667 0.059
0.000 0.000 0.174
0.000 0.000 0.326
0.333 0.667 0.441
0.667 0.333 0.559
0.000 0.000 0.674
0.000 0.000 0.826
0.667 0.333 0.941

***

No. 2
ZrCo3B2, optimized geometry, DFT PBE; energy above the lowest structure with this stoichiometry = 0.0 kJ per mole of atoms; size of the total moment = 0.00 μB per formula unit; E_tot = -7.772 eV per atom
1.0
4.212 -2.432 -3.014
-4.212 -2.432 -3.014
0.000 4.863 -3.014
B Co Zr
6 9 3
Direct
0.377 0.623 0.000
0.623 0.000 0.377
0.000 0.623 0.377
0.000 0.377 0.623
0.377 0.000 0.623
0.623 0.377 0.000
0.500 0.000 0.000
0.000 0.500 0.000
0.695 0.695 0.197
0.305 0.803 0.305
0.803 0.305 0.305
0.000 0.000 0.500
0.197 0.695 0.695
0.695 0.197 0.695
0.305 0.305 0.803
0.000 0.000 0.000
0.330 0.330 0.330
0.670 0.670 0.670

***

No. 3
Zr2CoB, optimized geometry, DFT PBE; size of the total moment = 0.58 μB per formula unit; E_tot = -7.200 eV per atom
1.0
0.000 3.083 3.083
3.083 0.000 3.083
3.083 3.083 0.000
B Co Zr
1 1 2
Direct
0.500 0.500 0.500
0.250 0.250 0.250
0.000 0.000 0.000
0.750 0.750 0.750

***

No. 4
ZrCo3B2, optimized geometry, DFT PBE; energy above the lowest structure with this stoichiometry = 1.0 kJ per mole of atoms; size of the total moment = 0.05 μB per formula unit; E_tot = -7.761 eV per atom
1.0
4.852 -0.001 0.000
-2.427 4.202 0.000
0.000 0.000 3.051
B Co Zr
2 3 1
Direct
0.667 0.333 0.000
0.333 0.667 0.000
0.500 0.000 0.500
0.500 0.500 0.500
0.000 0.500 0.500
0.000 0.000 0.000